This record from the Alexandria database describes a relaxed Nd3Co5H12 crystal. The functional is GGA-PBE.

Results
- symmetry = No. 230
- E_tot (eV/atom) = -4.67
- D(E_F) (states/eV per cell) = 22.94

CIF file:
```
data_Nd3Co5H12
_space_group_name_H-M_alt 'P 1'
_space_group_IT_number 1
_space_group_name_Hall 'P 1'
_cell_length_a 9.8980
_cell_length_b 9.8980
_cell_length_c 9.8980
_cell_angle_alpha 109.47
_cell_angle_beta 109.47
_cell_angle_gamma 109.47
loop_
_atom_site_label
_atom_site_type_symbol
_atom_site_fract_x
_atom_site_fract_y
_atom_site_fract_z
Co1 Co 0.2500 0.8750 0.1250
Co2 Co 0.7500 0.1250 0.8750
Co3 Co 0.6250 0.7500 0.8750
Co4 Co 0.5000 0.5000 0.5000
Co5 Co 0.7500 0.6250 0.3750
Co6 Co 0.2500 0.3750 0.6250
Co7 Co 0.5000 0.0000 0.0000
Co8 Co 0.3750 0.2500 0.1250
Co9 Co 0.0000 0.5000 0.5000
Co10 Co 0.5000 0.5000 0.0000
Co11 Co 0.1250 0.3750 0.2500
Co12 Co 0.0000 0.0000 0.5000
Co13 Co 0.3750 0.1250 0.7500
Co14 Co 0.8750 0.6250 0.7500
Co15 Co 0.1250 0.7500 0.3750
Co16 Co 0.0000 0.0000 0.0000
Co17 Co 0.5000 0.0000 0.5000
Co18 Co 0.6250 0.8750 0.2500
Co19 Co 0.0000 0.5000 0.0000
Co20 Co 0.8750 0.2500 0.6250
H1 H 0.4038 0.4066 0.0845
H2 H 0.1807 0.5028 0.5962
H3 H 0.5934 0.9972 0.6779
H4 H 0.9066 0.8221 0.5028
H5 H 0.5028 0.1807 0.0962
H6 H 0.9066 0.0845 0.9038
H7 H 0.5934 0.5962 0.4155
H8 H 0.5028 0.3221 0.9066
H9 H 0.4038 0.9972 0.8193
H10 H 0.5962 0.0028 0.1807
H11 H 0.3221 0.5028 0.4066
H12 H 0.0845 0.9066 0.4038
H13 H 0.6807 0.5845 0.1779
H14 H 0.5845 0.9038 0.4066
H15 H 0.4972 0.8193 0.9038
H16 H 0.0962 0.6807 0.5028
H17 H 0.6779 0.1807 0.5845
H18 H 0.0028 0.5962 0.6807
H19 H 0.9155 0.8221 0.8193
H20 H 0.3221 0.8193 0.4155
H21 H 0.0962 0.4155 0.0934
H22 H 0.8193 0.4972 0.4038
H23 H 0.9972 0.5934 0.1779
H24 H 0.6779 0.4972 0.5934
H25 H 0.0028 0.4066 0.8221
H26 H 0.3193 0.4155 0.8221
H27 H 0.6807 0.0962 0.0028
H28 H 0.4066 0.0028 0.3221
H29 H 0.0934 0.9155 0.0962
H30 H 0.9155 0.0934 0.5962
H31 H 0.0934 0.1779 0.4972
H32 H 0.1779 0.0845 0.6807
H33 H 0.4972 0.6779 0.0934
H34 H 0.9972 0.4038 0.3193
H35 H 0.9038 0.5845 0.9066
H36 H 0.3193 0.9038 0.9972
H37 H 0.5962 0.5934 0.9155
H38 H 0.8193 0.3221 0.9155
H39 H 0.0845 0.1779 0.1807
H40 H 0.8221 0.9155 0.3193
H41 H 0.4155 0.0962 0.5934
H42 H 0.4066 0.4038 0.5845
H43 H 0.4155 0.3193 0.3221
H44 H 0.5845 0.6807 0.6779
H45 H 0.8221 0.9066 0.0028
H46 H 0.1779 0.0934 0.9972
H47 H 0.9038 0.3193 0.4972
H48 H 0.1807 0.6779 0.0845
Nd1 Nd 0.3750 0.7500 0.6250
Nd2 Nd 0.7500 0.8750 0.6250
Nd3 Nd 0.1250 0.8750 0.7500
Nd4 Nd 0.8750 0.7500 0.1250
Nd5 Nd 0.1250 0.2500 0.8750
Nd6 Nd 0.2500 0.6250 0.8750
Nd7 Nd 0.6250 0.2500 0.3750
Nd8 Nd 0.2500 0.1250 0.3750
Nd9 Nd 0.8750 0.1250 0.2500
Nd10 Nd 0.6250 0.3750 0.7500
Nd11 Nd 0.7500 0.3750 0.1250
Nd12 Nd 0.3750 0.6250 0.2500
```